1.
PBE MoOsRu, relaxed; calculated total energy = -30.91 eV per cell; space-group type = No. 156; polymorph energy (0 for the lowest one) = 0.18 eV per formula unit; N(E_F) = 1.103 states/eV per atom
1.0
2.742 0.000 0.000
-1.371 2.375 0.000
0.000 0.000 6.787
Mo Os Ru
1 1 1
Cartesian
0.000 0.000 0.000
1.371 0.792 2.292
0.000 1.583 4.513



2.
PBE Ca2C, relaxed; calculated total energy = -49.08 eV per cell; space-group type = No. 205; polymorph energy (0 for the lowest one) = 0.86 eV per formula unit; N(E_F) = 1.202 states/eV per atom
1.0
6.408 0.000 0.000
0.000 6.408 0.000
0.000 0.000 6.408
Ca C
8 4
Cartesian
1.090 1.090 1.090
1.090 2.114 4.294
2.114 4.294 1.090
2.114 5.317 4.294
4.294 1.090 2.114
4.294 2.114 5.317
5.317 4.294 2.114
5.317 5.317 5.317
0.000 0.000 3.204
0.000 3.204 0.000
3.204 0.000 0.000
3.204 3.204 3.204



3.
PBE LuPuU, relaxed; calculated total energy = -58.96 eV per cell; space-group type = No. 107; N(E_F) = 2.427 states/eV per atom
1.0
3.482 0.000 0.000
0.000 3.482 0.000
0.000 0.000 11.799
Lu Pu U
2 2 2
Cartesian
0.000 0.000 0.000
1.741 1.741 5.900
0.000 0.000 3.460
1.741 1.741 9.359
0.000 0.000 8.439
1.741 1.741 2.539



4.
PBE LaBeZn2, relaxed; calculated total energy = -10.90 eV per cell; space-group type = No. 25; N(E_F) = 0.631 states/eV per atom
1.0
3.067 0.000 0.000
0.000 3.301 0.000
0.000 0.000 7.222
La Be Zn
1 1 2
Cartesian
0.000 0.000 0.000
1.533 1.650 5.010
0.000 0.000 3.932
1.533 1.650 2.352



5.
PBE Pm3Cd3Pd2, relaxed; calculated total energy = -32.17 eV per cell; space-group type = No. 189; N(E_F) = 0.470 states/eV per atom
1.0
7.704 0.000 0.000
-3.852 6.672 0.000
0.000 0.000 3.860
Pm Cd Pd
3 3 2
Cartesian
-1.599 2.770 0.000
3.198 0.000 0.000
2.253 3.902 0.000
-2.965 5.136 1.930
0.887 1.535 1.930
5.931 0.000 1.930
0.000 4.448 1.930
3.852 2.224 1.930



6.
PBE Cr2SbAs, relaxed; calculated total energy = -105.76 eV per cell; space-group type = No. 122; N(E_F) = 0.371 states/eV per atom; formation energy from raw total energies = 394.5 meV/atom
1.0
5.789 0.000 0.000
0.000 5.789 0.000
0.000 0.000 12.097
Cr Sb As
8 4 4
Cartesian
1.246 1.447 1.512
1.447 4.141 4.536
1.447 4.542 10.585
1.648 1.447 7.561
4.141 4.341 7.561
4.341 1.246 10.585
4.341 1.648 4.536
4.542 4.341 1.512
0.000 0.000 6.049
0.000 2.894 9.073
2.894 0.000 3.024
2.894 2.894 0.000
0.000 0.000 0.000
0.000 2.894 3.024
2.894 0.000 9.073
2.894 2.894 6.049



7.
PBE Nd8GaRh3Br4, relaxed; calculated total energy = -85.73 eV per cell; space-group type = No. 12; N(E_F) = 0.820 states/eV per atom; formation energy from raw total energies = -988.6 meV/atom
1.0
7.265 -4.197 0.000
7.265 4.197 0.000
-4.850 0.000 7.721
Nd Ga Rh Br
8 1 3 4
Cartesian
3.585 2.179 5.391
0.000 0.000 5.419
2.324 0.000 2.329
6.095 2.179 2.330
3.585 -2.179 5.391
7.356 0.000 5.392
9.680 0.000 2.302
6.095 -2.179 2.330
4.840 0.000 3.860
-2.425 0.000 3.860
1.208 2.098 3.860
1.208 -2.098 3.860
0.000 0.000 0.000
3.633 2.098 0.000
3.633 -2.098 0.000
7.265 0.000 0.000



8.
PBE KLi2Pb2, relaxed; calculated total energy = -26.09 eV per cell; space-group type = No. 139; polymorph energy (0 for the lowest one) = 0.27 eV per formula unit; N(E_F) = 0.528 states/eV per atom
1.0
5.295 0.000 0.000
0.000 5.295 0.000
0.000 0.000 10.570
K Li Pb
2 4 4
Cartesian
0.000 0.000 0.000
2.647 2.647 5.285
0.000 2.647 2.642
0.000 2.647 7.927
2.647 0.000 2.642
2.647 0.000 7.927
0.000 0.000 3.815
0.000 0.000 6.755
2.647 2.647 1.470
2.647 2.647 9.100



9.
PBE Hg2Te, relaxed; calculated total energy = -14.71 eV per cell; space-group type = No. 63; polymorph energy (0 for the lowest one) = 0.16 eV per formula unit; N(E_F) = 0.178 states/eV per atom; formation energy from raw total energies = 22.2 meV/atom
1.0
4.120 0.000 0.000
0.000 21.838 0.000
0.000 0.000 4.212
Hg Te
8 4
Cartesian
0.000 1.889 1.053
0.000 4.950 3.159
0.000 16.888 1.053
0.000 19.949 3.159
2.060 5.969 1.053
2.060 9.030 3.159
2.060 12.808 1.053
2.060 15.869 3.159
0.000 8.890 1.053
0.000 12.948 3.159
2.060 2.029 3.159
2.060 19.810 1.053



10.
PBE Sc8Al2In, relaxed; calculated total energy = -63.38 eV per cell; space-group type = No. 71; polymorph energy (0 for the lowest one) = 0.00 eV per formula unit; N(E_F) = 1.129 states/eV per atom
1.0
-2.345 3.828 6.937
2.345 -3.828 6.937
2.345 3.828 -6.937
Sc Al In
8 2 1
Cartesian
2.345 2.188 -2.215
0.000 0.000 2.091
0.000 2.347 0.000
2.345 2.188 2.215
0.000 1.639 4.722
0.000 5.308 0.000
0.000 0.000 11.783
0.000 1.639 9.152
2.345 0.000 4.273
0.000 3.828 2.664
2.345 0.000 0.000



11.
PBE LiCo2Re, relaxed; calculated total energy = -27.67 eV per cell; space-group type = No. 99; polymorph energy (0 for the lowest one) = 0.32 eV per formula unit; N(E_F) = 0.816 states/eV per atom
1.0
2.558 0.000 0.000
0.000 2.558 0.000
0.000 0.000 7.770
Li Co Re
1 2 1
Cartesian
0.000 0.000 0.000
0.000 0.000 4.157
1.279 1.279 5.756
1.279 1.279 2.212



12.
PBE CrTe2NCl, relaxed; calculated total energy = -16.90 eV per cell; space-group type = No. 123; polymorph energy (0 for the lowest one) = 8.19 eV per formula unit; N(E_F) = 1.950 states/eV per atom; formation energy from raw total energies = 1834.8 meV/atom
1.0
5.412 0.000 0.000
0.000 5.412 0.000
0.000 0.000 3.371
Cr Te N Cl
1 2 1 1
Cartesian
0.000 0.000 0.000
0.000 2.706 1.685
2.706 0.000 1.685
2.706 2.706 0.000
2.706 2.706 1.685



Which value of calculated total energy does entry 2 give?
-49.08 eV per cell